#i
VASP calculation (PBE) on a relaxed structure of NaDyNO.

Cell: 6.4724 7.6761 5.7872 Å, 90.00 90.00 90.00°
Last column: nearest neighbours and their distance in Å.
Space group Pca2_1 (No. 29)
One atom of each set of equivalent atoms:
Na: 0.0716 0.1127 0.0000 x4  3 N 2.32-2.38, 1 O 2.51
Dy: 0.0757 0.6215 0.9638 x4  1 N 2.14, 3 O 2.19-2.20
N: 0.0826 0.1538 0.5930 x4  1 Dy 2.14, 3 Na 2.32-2.38
O: 0.1043 0.6034 0.5862 x4  3 Dy 2.19-2.20

***

#ii
VASP calculation (PBE) on a relaxed structure of NaDyNO.

Cell: 4.6531 4.1284 6.7174 Å, 90.00 90.00 90.00°
Last column: nearest neighbours and their distance in Å.
Space group Pmma (No. 51)
One atom of each set of equivalent atoms:
Na: 0.2500 0.0000 0.1769 x2  3 N 2.33-2.35, 2 O 2.40
Dy: 0.2500 0.5000 0.6850 x2  3 O 2.19-2.35, 2 N 2.27
N: 0.2500 0.0000 0.8271 x2  2 Dy 2.27, 3 Na 2.33-2.35
O: 0.2500 0.5000 0.3589 x2  3 Dy 2.19-2.35, 2 Na 2.40

***

#iii
VASP calculation (PBE) on a relaxed structure of NaDyNO.

Cell: 4.8722 4.8722 4.5945 Å, 90.00 90.00 90.00°
Last column: nearest neighbours and their distance in Å.
Space group P4/nmm (No. 129, origin choice 2)
One atom of each set of equivalent atoms:
Na: 0.2500 0.2500 0.0013 x2  2 N 2.30, 4 O 2.44
Dy: 0.2500 0.7500 0.5000 x2  2 O 2.30, 4 N 2.44
N: 0.2500 0.2500 0.5014 x2  2 Na 2.30, 4 Dy 2.44
O: 0.2500 0.7500 0.0000 x2  2 Dy 2.30, 4 Na 2.44

***

#iv
VASP calculation (PBE) on a relaxed structure of NaDyNO.

Cell: 4.7074 3.7830 7.3108 Å, 90.00 90.00 90.00°
Last column: nearest neighbours and their distance in Å.
Space group Pmma (No. 51)
One atom of each set of equivalent atoms:
Na: 0.2500 0.0000 0.1385 x2  3 O 2.30-2.37, 2 N 2.50
Dy: 0.2500 0.5000 0.6778 x2  2 O 2.17, 3 N 2.30-2.37
N: 0.2500 0.5000 0.3629 x2  3 Dy 2.30-2.37, 2 Na 2.50
O: 0.2500 0.0000 0.8241 x2  2 Dy 2.17, 3 Na 2.30-2.37

***

Most favorable structure: #iv. The second most favorable one is 28 meV/atom above it.

***

#i
VASP calculation (PBE) on a relaxed structure of NdDyNO.

Cell: 8.2220 6.7281 5.1054 Å, 90.00 90.00 90.00°
Last column: nearest neighbours and their distance in Å.
Space group Pbcm (No. 57)
One atom of each set of equivalent atoms:
Nd: 0.1297 0.0793 0.2500 x4  4 N 2.38-2.56, 1 O 2.39
Dy: 0.3803 0.5744 0.2500 x4  2 O 2.21-2.27, 1 N 2.22
N: 0.1348 0.0626 0.7500 x4  1 Dy 2.22, 2 Nd 2.38-2.41
O: 0.3824 0.5970 0.7500 x4  2 Dy 2.21-2.27, 1 Nd 2.39

***

#ii
VASP calculation (PBE) on a relaxed structure of NdDyNO.

Cell: 4.4604 4.4604 8.3353 Å, 90.00 90.00 90.00°
Last column: nearest neighbours and their distance in Å.
Space group P4/nmm (No. 129, origin choice 2)
One atom of each set of equivalent atoms:
Nd: 0.2500 0.2500 0.1042 x2  4 O 2.39
Dy: 0.2500 0.7500 0.5000 x2  4 N 2.30
N: 0.2500 0.2500 0.5691 x2  4 Dy 2.30
O: 0.2500 0.7500 0.0000 x2  4 Nd 2.39

***

Most favorable structure: #i. The second most favorable one is 317 meV/atom above it.

***

#i
VASP calculation (PBE) on a relaxed structure of NdDyNO.

Cell: 4.9780 4.9780 4.9218 Å, 90.00 90.00 90.00°
Last column: nearest neighbours and their distance in Å.
Space group P4/nmm (No. 129, origin choice 2)
One atom of each set of equivalent atoms:
Nd: 0.2500 0.7500 0.0000 x2  2 O 2.46, 4 N 2.49
Dy: 0.2500 0.2500 0.4996 x2  2 N 2.45-2.48, 4 O 2.49
N: 0.2500 0.2500 0.0026 x2  2 Dy 2.45-2.48, 4 Nd 2.49
O: 0.2500 0.7500 0.5000 x2  2 Nd 2.46, 4 Dy 2.49

***

#ii
VASP calculation (PBE) on a relaxed structure of NdDyNO.

Cell: 8.2163 6.7661 5.0355 Å, 90.00 90.00 90.00°
Last column: nearest neighbours and their distance in Å.
Space group Pbcm (No. 57)
One atom of each set of equivalent atoms:
Nd: 0.1255 0.0687 0.2500 x4  4 O 2.33-2.52, 1 N 2.34
Dy: 0.3776 0.5845 0.2500 x4  1 O 2.25, 4 N 2.26-2.52
N: 0.3828 0.5786 0.7500 x4  4 Dy 2.26-2.52, 1 Nd 2.34
O: 0.1429 0.0870 0.7500 x4  1 Dy 2.25, 2 Nd 2.33-2.44

***

Most favorable structure: #i. The second most favorable one is 32 meV/atom above it.

***

#i
VASP calculation (PBE) on a relaxed structure of DyPaNO.

Cell: 3.9396 3.9396 8.4356 Å, 90.00 90.00 90.00°
Last column: nearest neighbours and their distance in Å.
Space group P4/nmm (No. 129, origin choice 2)
One atom of each set of equivalent atoms:
Dy: 0.2500 0.7500 0.0000 x2  4 N 2.52, 4 Dy 2.79
Pa: 0.2500 0.2500 0.3438 x2  4 O 2.37
N: 0.2500 0.2500 0.8142 x2  4 Dy 2.52
O: 0.2500 0.7500 0.5000 x2  4 Pa 2.37

***

#ii
VASP calculation (PBE) on a relaxed structure of DyPaNO.

Cell: 4.2197 4.2197 8.0706 Å, 90.00 90.00 90.00°
Last column: nearest neighbours and their distance in Å.
Space group P4/nmm (No. 129, origin choice 2)
One atom of each set of equivalent atoms:
Dy: 0.2500 0.2500 0.1085 x2  4 O 2.28
Pa: 0.2500 0.7500 0.5000 x2  4 N 2.39
N: 0.2500 0.2500 0.6390 x2  4 Pa 2.39
O: 0.2500 0.7500 0.0000 x2  4 Dy 2.28

***

Most favorable structure: #ii. The second most favorable one is 250 meV/atom above it.

***

#i
VASP calculation (PBE) on a relaxed structure of DySbNO.

Cell: 5.5362 8.1253 5.8051 Å, 90.00 90.00 90.00°
Last column: nearest neighbours and their distance in Å.
Space group Pca2_1 (No. 29)
One atom of each set of equivalent atoms:
Dy: 0.0116 0.1283 0.0000 x4  4 O 2.24-2.29, 1 N 2.33
Sb: 0.0199 0.3708 0.5031 x4  2 N 2.03-2.09
N: 0.1445 0.6057 0.5052 x4  2 Sb 2.03-2.09
O: 0.2496 0.9839 0.2500 x4  4 Dy 2.24-2.29

***

#ii
VASP calculation (PBE) on a relaxed structure of DySbNO.

Cell: 4.3543 4.3543 6.8942 Å, 90.00 90.00 90.00°
Last column: nearest neighbours and their distance in Å.
Space group P4/nmm (No. 129, origin choice 2)
One atom of each set of equivalent atoms:
Dy: 0.2500 0.2500 0.1020 x2  4 O 2.29
Sb: 0.2500 0.7500 0.5000 x2  4 N 2.40
N: 0.2500 0.2500 0.6475 x2  4 Sb 2.40
O: 0.2500 0.7500 0.0000 x2  4 Dy 2.29

***

Most favorable structure: #i. The second most favorable one is 539 meV/atom above it.

***

#i
VASP calculation (PBE) on a relaxed structure of DySbNO.

Cell: 4.8933 4.8933 5.0367 Å, 90.00 90.00 90.00°
Last column: nearest neighbours and their distance in Å.
Space group P4/nmm (No. 129, origin choice 2)
One atom of each set of equivalent atoms:
Dy: 0.2500 0.7500 0.0000 x2  4 N 2.49, 2 O 2.52
Sb: 0.2500 0.2500 0.5000 x2  1 N 2.08
N: 0.2500 0.2500 0.0879 x2  1 Sb 2.08
O: 0.2500 0.7500 0.5000 x2  4 Sb 2.45, 2 Dy 2.52

***

#ii
VASP calculation (PBE) on a relaxed structure of DySbNO.

Cell: 6.6157 7.2526 5.5329 Å, 90.00 90.00 90.00°
Last column: nearest neighbours and their distance in Å.
Space group Pca2_1 (No. 29)
One atom of each set of equivalent atoms:
Dy: 0.0842 0.1540 0.0000 x4  3 N 2.25-2.32, 1 O 2.29
Sb: 0.1251 0.6768 0.0021 x4  1 N 2.10, 2 O 2.13-2.25
N: 0.0859 0.1157 0.5838 x4  1 Sb 2.10, 3 Dy 2.25-2.32
O: 0.0659 0.4202 0.2205 x4  2 Sb 2.13-2.25, 1 Dy 2.29

***

#iii
VASP calculation (PBE) on a relaxed structure of DySbNO.

Cell: 3.8166 6.3957 6.3287 Å, 90.00 90.00 90.00°
Last column: nearest neighbours and their distance in Å.
Space group Pmc2_1 (No. 26)
One atom of each set of equivalent atoms:
Dy: 0.0000 0.1920 0.0000 x2  2 O 2.08, 2 N 2.32
Sb: 0.5000 0.3285 0.5845 x2  2 N 2.09-2.19
N: 0.5000 0.3844 0.9264 x2  2 Sb 2.09-2.19, 2 Dy 2.32
O: 0.0000 0.0703 0.3047 x2  2 Dy 2.08

***

Most favorable structure: #iii. The second most favorable one is 84 meV/atom above it.

***

#i
VASP calculation (PBE) on a relaxed structure of DySnNO.

Cell: 3.7906 5.8696 6.4689 Å, 90.00 90.00 90.00°
Last column: nearest neighbours and their distance in Å.
Space group Pmc2_1 (No. 26)
One atom of each set of equivalent atoms:
Dy: 0.0000 0.1853 0.0000 x2  2 O 2.15-2.19, 2 N 2.30
Sn: 0.5000 0.2917 0.4577 x2  1 N 2.07
N: 0.5000 0.3855 0.0846 x2  1 Sn 2.07, 2 Dy 2.30
O: 0.0000 0.1366 0.6705 x2  2 Dy 2.15-2.19

***

#ii
VASP calculation (PBE) on a relaxed structure of DySnNO.

Cell: 5.6499 8.3212 5.5593 Å, 90.00 90.00 90.00°
Last column: nearest neighbours and their distance in Å.
Space group Pca2_1 (No. 29)
One atom of each set of equivalent atoms:
Dy: 0.0152 0.1256 0.0000 x4  4 O 2.23-2.26, 1 N 2.37
Sn: 0.0254 0.6248 0.9883 x4  3 N 2.15-2.23
N: 0.1003 0.6086 0.5945 x4  3 Sn 2.15-2.23, 1 Dy 2.37
O: 0.2475 0.9859 0.2485 x4  4 Dy 2.23-2.26

***

Most favorable structure: #ii. The second most favorable one is 350 meV/atom above it.

***

#i
VASP calculation (PBE) on a relaxed structure of DySnNO.

Cell: 6.6984 7.0907 5.6666 Å, 90.00 90.00 90.00°
Last column: nearest neighbours and their distance in Å.
Space group Pca2_1 (No. 29)
One atom of each set of equivalent atoms:
Dy: 0.0895 0.1498 0.0000 x4  1 O 2.25, 3 N 2.26-2.29
Sn: 0.1208 0.6680 0.9886 x4  2 O 2.10-2.18, 1 N 2.16
N: 0.0862 0.1159 0.6000 x4  1 Sn 2.16, 3 Dy 2.26-2.29
O: 0.0632 0.4263 0.1932 x4  2 Sn 2.10-2.18, 1 Dy 2.25

***

#ii
VASP calculation (PBE) on a relaxed structure of DySnNO.

Cell: 3.4132 6.5738 5.9106 Å, 90.00 90.00 90.00°
Last column: nearest neighbours and their distance in Å.
Space group Pmc2_1 (No. 26)
One atom of each set of equivalent atoms:
Dy: 0.0000 0.0992 0.0000 x2  2 O 2.27, 2 N 2.28-2.30
Sn: 0.5000 0.3780 0.4866 x2  2 N 2.12, 1 O 2.34
N: 0.0000 0.2267 0.3585 x2  2 Sn 2.12, 2 Dy 2.28-2.30
O: 0.5000 0.1098 0.7471 x2  2 Dy 2.27, 1 Sn 2.34

***

#iii
VASP calculation (PBE) on a relaxed structure of DySnNO.

Cell: 4.1972 4.1972 7.4576 Å, 90.00 90.00 90.00°
Last column: nearest neighbours and their distance in Å.
Space group P4/nmm (No. 129, origin choice 2)
One atom of each set of equivalent atoms:
Dy: 0.2500 0.2500 0.1189 x2  4 O 2.28
Sn: 0.2500 0.7500 0.5000 x2  4 N 2.37
N: 0.2500 0.2500 0.6465 x2  4 Sn 2.37
O: 0.2500 0.7500 0.0000 x2  4 Dy 2.28

***

Most favorable structure: #ii. The second most favorable one is 71 meV/atom above it.